Here is a crystal of Tl2FeCo relaxed with PBEsol from Alexandria. Energies are from SCAN.

Cell: 2.999 4.411 6.022 Å, 111.54 104.42 90.00°
Site moments in Bohr magnetons follow the coordinates.
Positions (direct):
Fe 0.192 0.691 0.383  3.07
Tl 0.782 0.282 0.564  -0.05
Tl 0.000 0.000 0.000  -0.03
Co 0.527 0.527 0.053  1.67

SG ... No. 44
Polymorph energy (0 for the lowest one) ... 0 meV per atom
Calculated volume ... 71.4 Å³/cell
Formation enthalpy at 0 K ... 0.50 eV/atom
Total magnetic moment ... 4.55 μB/f.u.

---

Here is a crystal of TlFeCo4 relaxed with PBEsol from Alexandria. Energies are from SCAN.

Cell: 4.730 4.730 4.730 Å, 60.00 60.00 60.00°
Site moments in Bohr magnetons follow the coordinates.
Positions (direct):
Co 0.624 0.624 0.624  1.81
Fe 0.250 0.250 0.250  3.14
Co 0.624 0.127 0.624  1.81
Co 0.127 0.624 0.624  1.81
Tl 0.000 0.000 0.000  -0.05
Co 0.624 0.624 0.127  1.81

SG ... No. 216
Calculated volume ... 74.9 Å³/cell
Formation enthalpy at 0 K ... 0.32 eV/atom
Total magnetic moment ... 10.11 μB/f.u.

---

Here is a crystal of Tl2FeCo relaxed with PBEsol from Alexandria. Energies are from SCAN.

Cell: 3.184 4.504 4.504 Å, 90.00 90.00 90.00°
Site moments in Bohr magnetons follow the coordinates.
Positions (direct):
Tl 0.000 0.500 0.000  -0.07
Co 0.500 0.500 0.500  1.36
Fe 0.500 0.000 0.000  2.73
Tl 0.000 0.000 0.500  -0.07

SG ... No. 123
Polymorph energy (0 for the lowest one) ... 205 meV per atom
Calculated volume ... 64.6 Å³/cell
Formation enthalpy at 0 K ... 0.70 eV/atom
Total magnetic moment ... 3.80 μB/f.u.

---

Here is a crystal of TlFeCo2 relaxed with PBEsol from Alexandria. Energies are from SCAN.

Cell: 2.937 2.937 6.135 Å, 90.00 90.00 90.00°
Site moments in Bohr magnetons follow the coordinates.
Positions (direct):
Co 0.000 0.000 0.292  1.52
Tl 0.500 0.500 0.000  -0.05
Fe 0.500 0.500 0.500  3.00
Co 0.000 0.000 0.708  1.52

SG ... No. 123
Polymorph energy (0 for the lowest one) ... 0 meV per atom
Calculated volume ... 52.9 Å³/cell
Formation enthalpy at 0 K ... 0.25 eV/atom
Total magnetic moment ... 5.83 μB/f.u.

---

Here is a crystal of FeCo6W relaxed with PBEsol from Alexandria. Energies are from SCAN.

Cell: 6.090 6.090 9.945 Å, 90.00 90.00 109.64°
Site moments in Bohr magnetons follow the coordinates.
Positions (direct):
Co 0.248 0.752 0.747  1.29
Fe 0.747 0.253 0.500  2.98
Co 0.000 0.000 0.000  1.36
Co 0.752 0.248 0.253  1.29
W 0.500 0.500 0.252  -0.48
Co 0.752 0.248 0.747  1.29
Fe 0.000 0.000 0.747  3.05
Co 0.627 0.881 0.623  1.55
Co 0.123 0.370 0.874  0.85
Co 0.881 0.627 0.623  1.55
Co 0.881 0.627 0.377  1.55
W 0.747 0.253 0.000  -0.37
Co 0.627 0.881 0.377  1.55
Co 0.373 0.119 0.623  1.55
Fe 0.000 0.000 0.253  3.05
Co 0.877 0.630 0.874  0.85
Co 0.373 0.119 0.377  1.55
Co 0.630 0.877 0.874  0.85
Co 0.630 0.877 0.126  0.85
Co 0.877 0.630 0.126  0.85
Co 0.000 0.000 0.500  1.75
W 0.500 0.500 0.748  -0.48
Co 0.500 0.500 0.000  -0.08
W 0.253 0.747 0.000  -0.37
Co 0.500 0.500 0.500  1.31
Co 0.119 0.373 0.623  1.55
Co 0.370 0.123 0.874  0.85
Co 0.248 0.752 0.253  1.29
Fe 0.253 0.747 0.500  2.98
Co 0.119 0.373 0.377  1.55
Co 0.370 0.123 0.126  0.85
Co 0.123 0.370 0.126  0.85

SG ... No. 65
Calculated volume ... 347.4 Å³/cell
Formation enthalpy at 0 K ... 0.09 eV/atom
Total magnetic moment ... 9.54 μB/f.u.

---

Here is a crystal of FeCo2W relaxed with PBEsol from Alexandria. Energies are from SCAN.

Cell: 3.566 3.566 4.388 Å, 113.97 113.97 90.00°
Site moments in Bohr magnetons follow the coordinates.
Positions (direct):
Fe 0.000 0.000 0.000  2.08
W 0.250 0.750 0.500  -0.48
Co 0.750 0.250 0.500  1.28
Co 0.500 0.500 0.000  0.52

SG ... No. 119
Calculated volume ... 45.7 Å³/cell
Formation enthalpy at 0 K ... 0.14 eV/atom
Total magnetic moment ... 3.32 μB/f.u.

---

Here is a crystal of FeCoW3 relaxed with PBEsol from Alexandria. Energies are from SCAN.

Cell: 4.361 4.361 4.361 Å, 90.00 90.00 90.00°
Site moments in Bohr magnetons follow the coordinates.
Positions (direct):
Co 0.500 0.500 0.500  2.02
W 0.000 0.000 0.500  0.02
W 0.000 0.500 0.000  0.02
Fe 0.000 0.000 0.000  -0.04
W 0.500 0.000 0.000  0.02

SG ... No. 221
Calculated volume ... 83.0 Å³/cell
Formation enthalpy at 0 K ... 1.63 eV/atom
Total magnetic moment ... 2.04 μB/f.u.

---

Here is a crystal of FeCo2W relaxed with PBEsol from Alexandria. Energies are from SCAN.

Cell: 3.522 3.522 3.604 Å, 90.00 90.00 90.00°
Site moments in Bohr magnetons follow the coordinates.
Positions (direct):
Fe 0.500 0.500 0.500  1.99
W 0.000 0.000 0.500  -0.49
Co 0.500 0.000 0.000  0.24
Co 0.000 0.500 0.000  0.24

SG ... No. 123
Calculated volume ... 44.7 Å³/cell
Formation enthalpy at 0 K ... 0.15 eV/atom
Total magnetic moment ... 1.89 μB/f.u.

---

Here is a crystal of FeCo2W relaxed with PBEsol from Alexandria. Energies are from SCAN.

Cell: 3.584 3.584 4.359 Å, 114.27 114.27 90.00°
Site moments in Bohr magnetons follow the coordinates.
Positions (direct):
Co 0.250 0.750 0.500  0.49
Co 0.750 0.250 0.500  0.49
W 0.000 0.000 0.000  -0.39
Fe 0.500 0.500 0.000  2.42

SG ... No. 139
Calculated volume ... 45.6 Å³/cell
Formation enthalpy at 0 K ... 0.11 eV/atom
Total magnetic moment ... 2.93 μB/f.u.

---

Here is a crystal of YFeCo relaxed with PBEsol from Alexandria. Energies are from SCAN.

Cell: 3.800 3.800 4.017 Å, 90.00 90.00 120.00°
Site moments in Bohr magnetons follow the coordinates.
Positions (direct):
Fe 0.333 0.667 0.000  2.12
Co 0.000 0.000 0.000  0.78
Y 0.667 0.333 0.500  -0.40

SG ... No. 187
Calculated volume ... 50.2 Å³/cell
Formation enthalpy at 0 K ... -0.02 eV/atom
Total magnetic moment ... 2.31 μB/f.u.

---

Here is a crystal of YFeCo2 relaxed with PBEsol from Alexandria. Energies are from SCAN.

Cell: 3.927 3.927 5.190 Å, 67.77 67.77 60.00°
Site moments in Bohr magnetons follow the coordinates.
Positions (direct):
Co 0.307 0.307 0.080  1.41
Fe 0.000 0.000 0.000  2.48
Co 0.693 0.693 0.920  1.41
Y 0.500 0.500 0.500  -0.43

SG ... No. 166
Polymorph energy (0 for the lowest one) ... 0 meV per atom
Calculated volume ... 62.4 Å³/cell
Formation enthalpy at 0 K ... -0.04 eV/atom
Total magnetic moment ... 4.66 μB/f.u.

---

Here is a crystal of YFeCo2 relaxed with PBEsol from Alexandria. Energies are from SCAN.

Cell: 3.107 4.241 5.051 Å, 114.82 107.91 90.00°
Site moments in Bohr magnetons follow the coordinates.
Positions (direct):
Fe 0.479 0.479 0.958  2.91
Co 0.752 0.252 0.505  1.47
Co 0.018 0.018 0.036  1.74
Y 0.251 0.751 0.501  -0.53

SG ... No. 44
Polymorph energy (0 for the lowest one) ... 179 meV per atom
Calculated volume ... 56.8 Å³/cell
Formation enthalpy at 0 K ... 0.14 eV/atom
Total magnetic moment ... 5.48 μB/f.u.